(1)
Below is a geometry-optimized Li2CaPb2 structure, with properties calculated at the PBE level.

Cell: 4.395 4.395 7.349 Å, 72.60 72.60 90.00°
Atoms (fractional coordinates):
Pb (0.613, 0.613, 0.775)
Pb (0.387, 0.387, 0.225)
Ca (0.000, 0.000, 0.000)
Li (0.250, 0.750, 0.500)
Li (0.750, 0.250, 0.500)

Calculated values
The formation enthalpy at 0 K comes out at -164 kJ/mol of formula units. For the total magnetic moment, the calculation gives 0.0 Bohr magnetons per cell. The calculated volume is 128.6 Å³ per cell. Its total energy is -2.9900 eV per atom. The energy above the most stable polymorph in this dataset comes out at 16.4 meV per atom.

=====

(2)
Below is a geometry-optimized CrAsPb2 structure, with properties calculated at the PBE level.

Cell: 3.911 3.911 6.353 Å, 90.00 90.00 90.00°
Atoms (fractional coordinates):
Pb (0.000, 0.000, 0.499)
Pb (0.000, 0.000, 0.001)
Cr (0.500, 0.500, 0.750)
As (0.500, 0.500, 0.250)

Calculated values
The formation enthalpy at 0 K comes out at 169 kJ/mol of formula units. For the total magnetic moment, the calculation gives 4.2 Bohr magnetons per cell. The calculated volume is 97.2 Å³ per cell. Its total energy is -4.9848 eV per atom.

=====

(3)
Below is a geometry-optimized YAsRu2 structure, with properties calculated at the PBE level.

Cell: 5.244 5.244 4.905 Å, 69.27 69.27 35.17°
Atoms (fractional coordinates):
Ru (0.727, 0.727, 0.861)
Ru (0.998, 0.998, 0.963)
As (0.280, 0.280, 0.191)
Y (0.495, 0.495, 0.485)

Calculated values
The formation enthalpy at 0 K comes out at -93 kJ/mol of formula units. For the total magnetic moment, the calculation gives 0.0 Bohr magnetons per cell. The calculated volume is 72.1 Å³ per cell. Its total energy is -7.6561 eV per atom.